Record 1
Computed, not measured: crystalline PmPrZnFe at its relaxed geometry at the PBE level of DFT.

Lattice parameters (Å, degrees): 5.096 5.096 5.096 60.00 60.00 60.00
Site moments in Bohr magnetons follow the coordinates.
Positions (direct):
Pr: 0.000 0.000 0.000  -0.20
Zn: 0.250 0.250 0.250  -0.01
Fe: 0.750 0.750 0.750  2.24
Pm: 0.500 0.500 0.500  -0.23

The value obtained for the energy of formation is 24 meV/atom.



Record 2
Computed, not measured: crystalline PmFePt2 at its relaxed geometry at the PBE level of DFT.

Lattice parameters (Å, degrees): 4.083 4.181 4.181 90.00 90.00 90.00
Site moments in Bohr magnetons follow the coordinates.
Positions (direct):
Fe: 0.500 0.500 0.500  2.67
Pt: 0.000 0.000 0.500  0.08
Pt: 0.000 0.500 0.000  0.08
Pm: 0.500 0.000 0.000  -0.14

The value obtained for the energy of formation is -508 meV/atom.



Record 3
Computed, not measured: crystalline Pm8FePt2 at its relaxed geometry at the PBE level of DFT.

Lattice parameters (Å, degrees): 5.026 7.019 9.123 99.69 105.99 90.00
Site moments in Bohr magnetons follow the coordinates.
Positions (direct):
Pm: 0.411 0.551 0.822  0.00
Pm: 0.661 0.969 0.322  -0.06
Pm: 0.796 0.672 0.592  0.01
Pm: 0.971 0.216 0.942  -0.09
Pm: 0.204 0.328 0.408  0.01
Pm: 0.339 0.031 0.678  -0.06
Pm: 0.589 0.449 0.178  0.00
Pm: 0.029 0.784 0.058  -0.09
Fe: 0.500 0.000 0.000  1.52
Pt: 0.801 0.264 0.602  0.00
Pt: 0.199 0.736 0.398  0.00

The value obtained for the energy of formation is -365 meV/atom.



Record 4
Computed, not measured: crystalline Pm2FeSiPt6 at its relaxed geometry at the PBE level of DFT.

Lattice parameters (Å, degrees): 5.498 8.214 6.494 52.40 64.95 90.00
Site moments in Bohr magnetons follow the coordinates.
Positions (direct):
Pm: 0.740 0.204 0.521  -0.05
Pm: 0.260 0.796 0.479  -0.05
Fe: 0.000 0.000 0.000  2.79
Si: 0.500 0.500 0.000  -0.01
Pt: 0.251 0.388 0.499  0.06
Pt: 0.759 0.748 0.987  0.05
Pt: 0.254 0.748 0.987  0.05
Pt: 0.746 0.252 0.013  0.05
Pt: 0.241 0.252 0.013  0.05
Pt: 0.749 0.612 0.501  0.06

The energy relative to the elements, uncorrected is -763 meV per atom.



Record 5
Computed, not measured: crystalline Pm3FeSi2Pt9 at its relaxed geometry at the PBE level of DFT.

Lattice parameters (Å, degrees): 6.397 6.397 8.830 90.00 90.00 120.00
Site moments in Bohr magnetons follow the coordinates.
Positions (direct):
Pm: 0.333 0.667 0.698  -0.03
Pm: 0.000 0.000 0.000  -0.01
Pm: 0.667 0.333 0.302  -0.03
Fe: 0.000 0.000 0.500  2.91
Si: 0.333 0.667 0.185  -0.01
Si: 0.667 0.333 0.815  -0.01
Pt: 0.857 0.143 0.721  0.06
Pt: 0.857 0.714 0.721  0.06
Pt: 0.286 0.143 0.721  0.06
Pt: 0.714 0.857 0.279  0.06
Pt: 0.143 0.286 0.279  0.06
Pt: 0.143 0.857 0.279  0.06
Pt: 0.500 0.000 0.000  0.03
Pt: 0.000 0.500 0.000  0.03
Pt: 0.500 0.500 0.000  0.03

The energy relative to the elements, uncorrected is -650 meV per atom.



Record 6
Computed, not measured: crystalline Pm2FeSi4Pt3 at its relaxed geometry at the PBE level of DFT.

Lattice parameters (Å, degrees): 4.158 4.158 9.991 90.00 90.00 90.00
Positions (direct):
Pm: 0.500 0.000 0.249
Pm: 0.000 0.500 0.751
Fe: 0.500 0.500 0.500
Si: 0.500 0.500 0.000
Si: 0.000 0.000 0.000
Si: 0.500 0.000 0.626
Si: 0.000 0.500 0.374
Pt: 0.000 0.000 0.500
Pt: 0.500 0.000 0.872
Pt: 0.000 0.500 0.128

The energy relative to the elements, uncorrected is -998 meV per atom.



Record 7
Computed, not measured: crystalline PmPuFe2 at its relaxed geometry at the PBE level of DFT.

Lattice parameters (Å, degrees): 3.349 3.349 6.950 90.00 90.00 90.00
Site moments in Bohr magnetons follow the coordinates.
Positions (direct):
Pu: 0.500 0.500 0.000  5.08
Fe: 0.000 0.000 0.801  -2.01
Fe: 0.000 0.000 0.199  -2.01
Pm: 0.500 0.500 0.500  0.31

The value obtained for the energy of formation is 104 meV/atom.



Record 8
Computed, not measured: crystalline PmPu2Fe at its relaxed geometry at the PBE level of DFT.

Lattice parameters (Å, degrees): 4.287 4.287 6.035 69.19 69.19 60.00
Positions (direct):
Pm: 0.500 0.500 0.500
Fe: 0.000 0.000 0.000
Pu: 0.322 0.322 0.035
Pu: 0.678 0.678 0.965

The distance to the lowest polymorph of the same formula comes out at 406.5 meV/atom. The value obtained for the energy of formation is 550 meV/atom.